[1]
First-principles (PBE-GGA) data for a relaxed Mg2CrRu crystal, as listed in Alexandria via LeMat-Bulk.

Cell: 4.993 4.993 2.885 Å, 90.00 90.00 114.84°
Element x y z (fractional)
Mg (0.000, 0.500, 0.000)
Mg (0.500, 0.000, 0.000)
Cr (0.000, 0.000, 0.500)
Ru (0.500, 0.500, 0.500)

Output
The density of states at the Fermi level comes out at 3.75 states/eV/f.u. As for the density: 5133 kg/m3. The energy of formation is 0.35 eV per atom. Its distance to the lowest polymorph of the same formula is 1.214 eV/f.u. As for the symmetry: Cmmm. Its total energy is -20.7 eV per formula unit. As for the total moment: 2.48 μB per cell.

=====

[2]
First-principles (PBE-GGA) data for a relaxed LaNiAu3 crystal, as listed in Alexandria via LeMat-Bulk.

Cell: 5.638 5.638 5.638 Å, 90.00 90.00 90.00°
Element x y z (fractional)
La (0.000, 0.000, 0.000)
Ni (0.500, 0.500, 0.500)
Au (0.000, 0.000, 0.500)
Au (0.000, 0.500, 0.000)
Au (0.500, 0.000, 0.000)

Output
The density of states at the Fermi level comes out at 10.74 states/eV/f.u. As for the density: 7307 kg/m3. The energy of formation is 0.96 eV per atom. Its distance to the lowest polymorph of the same formula is 5.999 eV/f.u. As for the symmetry: Pm-3m. Its total energy is -15.8 eV per formula unit. As for the total moment: 1.22 μB per cell.

=====

[3]
First-principles (PBE-GGA) data for a relaxed BeWBr4 crystal, as listed in Alexandria via LeMat-Bulk.

Cell: 6.139 6.139 6.139 Å, 60.00 60.00 60.00°
Element x y z (fractional)
Be (0.000, 0.000, 0.000)
W (0.250, 0.250, 0.250)
Br (0.127, 0.624, 0.624)
Br (0.624, 0.127, 0.624)
Br (0.624, 0.624, 0.127)
Br (0.624, 0.624, 0.624)

Output
The density of states at the Fermi level comes out at 7.58 states/eV/f.u. As for the density: 5203 kg/m3. The calculation puts the formation energy without anion corrections at 1.82 eV/atom. As for the symmetry: F-43m. Its total energy is -12.5 eV per formula unit. As for the total moment: 3.71 μB per cell.

=====

[4]
First-principles (PBE-GGA) data for a relaxed InP2Br crystal, as listed in Alexandria via LeMat-Bulk.

Cell: 4.469 4.075 5.931 Å, 90.00 111.24 90.00°
Element x y z (fractional)
In (0.000, 0.000, 0.000)
P (0.421, 0.500, 0.144)
P (0.579, 0.500, 0.856)
Br (0.000, 0.000, 0.500)

Output
The density of states at the Fermi level comes out at 1.55 states/eV/f.u. As for the density: 4233 kg/m3. The calculation puts the formation energy without anion corrections at -0.02 eV/atom. Its distance to the lowest polymorph of the same formula is 0.349 eV/f.u. As for the symmetry: P2/m. Its total energy is -15.3 eV per formula unit. As for the total moment: 0.00 μB per cell.

=====

[5]
First-principles (PBE-GGA) data for a relaxed Pm2Dy12Sc crystal, as listed in Alexandria via LeMat-Bulk.

Cell: 6.636 6.636 24.473 Å, 94.09 94.09 116.48°
Element x y z (fractional)
Pm (0.017, 0.017, 0.277)
Pm (0.482, 0.482, 0.728)
Pm (0.518, 0.518, 0.272)
Pm (0.983, 0.983, 0.723)
Dy (0.032, 0.484, 0.804)
Dy (0.041, 0.543, 0.329)
Dy (0.145, 0.658, 0.556)
Dy (0.163, 0.698, 0.066)
Dy (0.165, 0.165, 0.568)
Dy (0.189, 0.189, 0.145)
Dy (0.302, 0.837, 0.934)
Dy (0.341, 0.341, 0.420)
Dy (0.341, 0.341, 0.887)
Dy (0.342, 0.855, 0.444)
Dy (0.457, 0.959, 0.671)
Dy (0.484, 0.032, 0.804)
Dy (0.516, 0.968, 0.196)
Dy (0.543, 0.041, 0.329)
Dy (0.658, 0.145, 0.556)
Dy (0.659, 0.659, 0.113)
Dy (0.659, 0.659, 0.580)
Dy (0.698, 0.163, 0.066)
Dy (0.811, 0.811, 0.855)
Dy (0.835, 0.835, 0.432)
Dy (0.837, 0.302, 0.934)
Dy (0.855, 0.342, 0.444)
Dy (0.959, 0.457, 0.671)
Dy (0.968, 0.516, 0.196)
Sc (0.247, 0.247, 0.015)
Sc (0.753, 0.753, 0.985)

Output
The density of states at the Fermi level comes out at 20.94 states/eV/f.u. As for the density: 7940 kg/m3. The energy of formation is 0.12 eV per atom. As for the symmetry: C2/m. Its total energy is -69.2 eV per formula unit. As for the total moment: 0.01 μB per cell.

=====

[6]
First-principles (PBE-GGA) data for a relaxed SmErAu2 crystal, as listed in Alexandria via LeMat-Bulk.

Cell: 4.717 5.849 5.849 Å, 37.38 90.00 90.00°
Element x y z (fractional)
Sm (0.000, 0.000, 0.000)
Er (0.500, 0.723, 0.723)
Au (0.000, 0.272, 0.272)
Au (0.500, 0.448, 0.448)

Output
The density of states at the Fermi level comes out at 2.38 states/eV/f.u. As for the density: 12059 kg/m3. The energy of formation is -0.86 eV per atom. As for the symmetry: Amm2. Its total energy is -19.3 eV per formula unit. As for the total moment: 0.00 μB per cell.